# 1
Density functional theory data (PBE) for a geometry-optimized Mg2Co5SiGe2 structure.

Properties
The crystal system is tetragonal. As for the volume: 13.11 Å³ per atom. The calculation puts the uncorrected formation energy at -165 meV/atom. Its density of states at the Fermi level is 13.58 states/eV/cell.

Cell lengths 3.155, 9.116, 9.116 Å; angles 90.00, 90.00, 90.00 degrees
Positions (direct):
Mg 0.000 0.670 0.170
Mg 0.000 0.330 0.830
Mg 0.000 0.170 0.330
Mg 0.000 0.830 0.670
Co 0.500 0.190 0.065
Co 0.500 0.810 0.935
Co 0.500 0.065 0.810
Co 0.500 0.690 0.435
Co 0.500 0.935 0.190
Co 0.500 0.310 0.565
Co 0.500 0.565 0.690
Co 0.500 0.435 0.310
Co 0.500 0.500 0.000
Co 0.500 0.000 0.500
Si 0.000 0.000 0.000
Si 0.000 0.500 0.500
Ge 0.000 0.131 0.631
Ge 0.000 0.869 0.369
Ge 0.000 0.631 0.869
Ge 0.000 0.369 0.131

---

# 2
Density functional theory data (PBE) for a geometry-optimized NaU4S8 structure.

Properties
The relative energy among the computed polymorphs is 7.6 meV per atom. The crystal system is cubic. As for the volume: 28.70 Å³ per atom. The calculation puts the uncorrected formation energy at -1364 meV/atom. Its density of states at the Fermi level is 21.53 states/eV/cell.

Cell lengths 8.081, 8.081, 8.081 Å; angles 60.00, 60.00, 60.00 degrees
Positions (direct):
Na 0.750 0.750 0.750
U 0.879 0.374 0.374
U 0.374 0.879 0.374
U 0.374 0.374 0.879
U 0.374 0.374 0.374
S 0.587 0.138 0.138
S 0.138 0.587 0.138
S 0.138 0.138 0.587
S 0.138 0.138 0.138
S 0.165 0.612 0.612
S 0.612 0.165 0.612
S 0.612 0.612 0.165
S 0.612 0.612 0.612

---

# 3
Density functional theory data (PBE) for a geometry-optimized CaZnIN2 structure.

Properties
The relative energy among the computed polymorphs is 0.0 meV per atom. The crystal system is tetragonal. As for the volume: 19.85 Å³ per atom. The calculation puts the uncorrected formation energy at 800 meV/atom. Its density of states at the Fermi level is 2.67 states/eV/cell.

Cell lengths 4.220, 4.220, 5.575 Å; angles 90.00, 90.00, 90.00 degrees
Positions (direct):
I 0.000 0.000 0.500
Zn 0.000 0.000 0.000
Ca 0.500 0.500 0.500
N 0.000 0.500 0.000
N 0.500 0.000 0.000

---

# 4
Density functional theory data (PBE) for a geometry-optimized MnPN2 structure.

Properties
The crystal system is tetragonal. As for the volume: 9.28 Å³ per atom. The calculation puts the uncorrected formation energy at 86 meV/atom. Its density of states at the Fermi level is 3.68 states/eV/cell.

Cell lengths 4.334, 4.334, 5.000 Å; angles 64.32, 64.32, 90.00 degrees
Positions (direct):
P 0.500 0.500 0.000
P 0.250 0.750 0.500
Mn 0.000 0.000 0.000
Mn 0.750 0.250 0.500
N 0.563 0.125 0.250
N 0.187 0.625 0.250
N 0.375 0.437 0.750
N 0.875 0.813 0.750

---

# 5
Density functional theory data (PBE) for a geometry-optimized LaSn2P2 structure.

Properties
The crystal system is tetragonal. As for the volume: 24.78 Å³ per atom. The formation enthalpy at 0 K is -218 kJ/mol of formula units. Its density of states at the Fermi level is 1.77 states/eV/cell.

Cell lengths 4.228, 4.228, 7.547 Å; angles 73.73, 73.73, 90.00 degrees
Positions (direct):
P 0.421 0.421 0.157
P 0.579 0.579 0.843
Sn 0.750 0.250 0.500
Sn 0.250 0.750 0.500
La 0.000 0.000 0.000

---

# 6
Density functional theory data (PBE) for a geometry-optimized Tb4Ag structure.

Properties
The relative energy among the computed polymorphs is 281.2 meV per atom. The crystal system is cubic. As for the volume: 34.62 Å³ per atom. The formation enthalpy at 0 K is 133 kJ/mol of formula units. Its density of states at the Fermi level is 7.75 states/eV/cell.

Cell lengths 5.573, 5.573, 5.573 Å; angles 90.00, 90.00, 90.00 degrees
Positions (direct):
Tb 0.000 0.000 0.000
Tb 0.500 0.000 0.500
Tb 0.000 0.500 0.500
Tb 0.500 0.500 0.000
Ag 0.500 0.500 0.500

---

# 7
Density functional theory data (PBE) for a geometry-optimized K6CdAu2 structure.

Properties
The crystal system is orthorhombic. As for the volume: 43.22 Å³ per atom. The formation enthalpy at 0 K is -155 kJ/mol of formula units. Its density of states at the Fermi level is 6.52 states/eV/cell.

Cell lengths 10.070, 10.070, 10.070 Å; angles 102.98, 114.35, 111.29 degrees
Positions (direct):
K 0.467 0.289 0.178
K 0.533 0.711 0.822
K 0.889 0.711 0.178
K 0.111 0.289 0.822
K 0.192 0.745 0.937
K 0.808 0.255 0.063
K 0.808 0.745 0.553
K 0.192 0.255 0.447
K 0.330 0.985 0.655
K 0.670 0.015 0.345
K 0.670 0.325 0.655
K 0.330 0.675 0.345
Cd 0.000 0.500 0.500
Cd 0.000 0.000 0.000
Au 0.500 0.383 0.883
Au 0.500 0.617 0.117
Au 0.274 0.000 0.274
Au 0.726 0.000 0.726

---

# 8
Density functional theory data (PBE) for a geometry-optimized CdCo2Br structure.

Properties
The relative energy among the computed polymorphs is 269.1 meV per atom. The crystal system is tetragonal. As for the volume: 18.24 Å³ per atom. The calculation puts the uncorrected formation energy at 596 meV/atom. Its density of states at the Fermi level is 4.53 states/eV/cell.

Cell lengths 3.447, 3.440, 6.152 Å; angles 90.00, 90.00, 90.00 degrees
Positions (direct):
Br 0.500 0.500 0.250
Cd 0.500 0.500 0.750
Co 0.000 0.000 0.937
Co 0.000 0.000 0.563

---

# 9
Density functional theory data (PBE) for a geometry-optimized Hf4BeFe structure.

Properties
The crystal system is tetragonal. As for the volume: 18.15 Å³ per atom. The formation enthalpy at 0 K is 33 kJ/mol of formula units. Its density of states at the Fermi level is 12.59 states/eV/cell.

Cell lengths 6.155, 6.155, 7.211 Å; angles 115.26, 115.26, 90.00 degrees
Positions (direct):
Hf 0.451 0.951 0.261
Hf 0.951 0.810 0.261
Hf 0.310 0.451 0.261
Hf 0.690 0.549 0.739
Hf 0.049 0.190 0.739
Hf 0.549 0.049 0.739
Hf 0.190 0.690 0.739
Hf 0.810 0.310 0.261
Be 0.250 0.250 0.500
Be 0.750 0.750 0.500
Fe 0.500 0.500 0.000
Fe 0.000 0.000 0.000

---

# 10
Density functional theory data (PBE) for a geometry-optimized KMnCl structure.

Properties
The relative energy among the computed polymorphs is 13.8 meV per atom. The crystal system is tetragonal. As for the volume: 27.55 Å³ per atom. The calculation puts the uncorrected formation energy at -154 meV/atom. Its density of states at the Fermi level is 1.87 states/eV/cell.

Cell lengths 7.155, 7.155, 7.155 Å; angles 151.60, 151.62, 40.59 degrees
Positions (direct):
K 0.643 0.643 0.000
Mn 0.357 0.357 0.000
Cl 0.000 0.000 0.000

---

# 11
Density functional theory data (PBE) for a geometry-optimized Li4In2Pb structure.

Properties
The relative energy among the computed polymorphs is 257.7 meV per atom. The crystal system is tetragonal. As for the volume: 27.01 Å³ per atom. The formation enthalpy at 0 K is 5 kJ/mol of formula units. Its density of states at the Fermi level is 2.90 states/eV/cell.

Cell lengths 5.130, 5.130, 8.049 Å; angles 71.42, 71.42, 90.00 degrees
Positions (direct):
Pb 0.000 0.000 0.000
Li 0.194 0.194 0.612
Li 0.806 0.806 0.388
Li 0.000 0.500 0.000
Li 0.500 0.000 0.000
In 0.391 0.391 0.218
In 0.609 0.609 0.782

---

# 12
Density functional theory data (PBE) for a geometry-optimized UNbH structure.

Properties
The relative energy among the computed polymorphs is 243.1 meV per atom. The crystal system is tetragonal. As for the volume: 14.19 Å³ per atom. Its density of states at the Fermi level is 3.61 states/eV/cell.

Cell lengths 2.770, 2.770, 5.881 Å; angles 103.62, 103.62, 90.00 degrees
Positions (direct):
H 0.370 0.370 0.740
Nb 0.950 0.950 0.899
U 0.681 0.681 0.361

---

Which formula does entry 6 have? Tb4Ag